# 1
Material: ScSbPt
Method: DFT, PBE-GGA
State: relaxed

```
3
Lattice="4.572 0.000 0.000 -2.286 3.960 0.000 0.000 0.000 3.294" Properties=species:S:1:pos:R:3 pbc="T T T"
Sc 0.000 0.000 0.000
Sb 0.000 2.640 1.647
Pt 2.286 1.320 1.647
```

Computed properties:
The uncorrected formation energy comes out at -0.88 eV/atom. The size of the total moment comes out at 0.0 μB/cell. Its density of states at the Fermi level is 0.34 states/eV/atom.



# 2
Material: Ce3ThIn2
Method: DFT, PBE-GGA
State: relaxed

```
12
Lattice="4.144 -4.707 0.000 4.144 4.707 0.000 -1.434 0.000 8.061" Properties=species:S:1:pos:R:3 pbc="T T T"
Ce 3.069 4.063 6.045
Ce 0.451 0.747 8.000
Ce 1.168 -0.747 3.969
Ce 5.687 0.747 4.091
Ce 6.404 -0.747 0.061
Ce 3.786 -4.063 2.015
Th 3.069 0.741 6.045
Th 3.786 -0.741 2.015
In 2.545 2.285 3.022
In 5.026 2.285 1.009
In 1.829 -2.285 7.052
In 4.309 -2.285 5.039
```

Computed properties:
As for the formation energy: -83.6 kJ/mol of formula units. The size of the total moment comes out at 3.0 μB/cell. Its density of states at the Fermi level is 2.34 states/eV/atom.



# 3
Material: RbBa2ZrGa
Method: DFT, PBE-GGA
State: relaxed

```
5
Lattice="6.658 0.000 0.000 0.000 6.658 0.000 0.000 0.000 5.457" Properties=species:S:1:pos:R:3 pbc="T T T"
Rb 0.000 0.000 0.000
Ba 0.000 3.329 2.729
Ba 3.329 0.000 2.729
Zr 3.329 3.329 0.000
Ga 3.329 3.329 2.729
```

Computed properties:
As for the formation energy: 169.9 kJ/mol of formula units. The size of the total moment comes out at 1.9 μB/cell. Its density of states at the Fermi level is 1.69 states/eV/atom.



# 4
Material: MgSb3P
Method: DFT, PBE-GGA
State: relaxed

```
5
Lattice="5.286 0.000 0.000 0.000 5.286 0.000 0.000 0.000 5.286" Properties=species:S:1:pos:R:3 pbc="T T T"
Mg 0.000 0.000 0.000
Sb 0.000 0.000 2.643
Sb 0.000 2.643 0.000
Sb 2.643 0.000 0.000
P 2.643 2.643 2.643
```

Computed properties:
The calculation puts the relative energy among the computed polymorphs at 476 meV/atom. The uncorrected formation energy comes out at 0.95 eV/atom. The size of the total moment comes out at 0.0 μB/cell. Its density of states at the Fermi level is 1.15 states/eV/atom.



- Which value of size of the total moment does entry 3 give?
  1.9 μB/cell



- size of the total moment of number 4 (MgSb3P)?
  0.0 μB/cell



- What is the formula in the first record?
  ScSbPt